No. 1
Material: Na2In3Pd2
Method: DFT, GGA-PBE
State: optimized geometry

The structure belongs to space group C2/m (No. 12); the cell edges are 10.607, 4.316 and 7.650 Å and the angles 90.00°, 113.54° and 90.00°. The distinct sites, in fractional coordinates, are Na at (0.155, 0.000, 0.297), In at (0.000, 0.500, 0.500), In at (0.132, 0.500, 0.953) and Pd at (0.127, 0.000, 0.711).

Its final energy is -47.4 eV for the cell shown. Its theoretical density is 6.240 g/cm3. As for the formation energy: -350 meV per atom. The calculation puts the total magnetization at 0.00 μB/f.u.



No. 2
Material: PuHfAl4
Method: DFT, GGA-PBE
State: optimized geometry

The structure belongs to space group F-43m (No. 216); the cell edges are 7.659, 7.659 and 7.659 Å and the angles 90.00°, 90.00° and 90.00°. The distinct sites, in fractional coordinates, are Pu at (0.000, 0.000, 0.000), Hf at (0.250, 0.250, 0.250) and Al at (0.125, 0.125, 0.625).

Its final energy is -164.4 eV for the cell shown. Its theoretical density is 7.842 g/cm3. As for the formation energy: -308 meV per atom. The calculation puts the total magnetization at 6.21 μB/f.u.



No. 3
Material: Ac2NdAu2
Method: DFT, GGA-PBE
State: optimized geometry

The structure belongs to space group P4/mbm (No. 127); the cell edges are 8.077, 8.077 and 4.810 Å and the angles 90.00°, 90.00° and 90.00°. The distinct sites, in fractional coordinates, are Ac at (0.166, 0.334, 0.000), Nd at (0.000, 0.000, 0.500) and Au at (0.134, 0.634, 0.500).

Its final energy is -45.2 eV for the cell shown. Its theoretical density is 10.502 g/cm3. As for the formation energy: -614 meV per atom. The distance to the lowest polymorph of the same formula comes out at 0 meV/atom. The calculation puts the total magnetization at 0.00 μB/f.u.



No. 4
Material: Mg2ScNi
Method: DFT, GGA-PBE
State: optimized geometry

The structure belongs to space group P4/mmm (No. 123); the cell edges are 3.128, 3.128 and 7.656 Å and the angles 90.00°, 90.00° and 90.00°. The distinct sites, in fractional coordinates, are Mg at (0.000, 0.000, 0.194), Sc at (0.500, 0.500, 0.500) and Ni at (0.500, 0.500, 0.000).

Its final energy is -15.5 eV for the cell shown. Its theoretical density is 3.376 g/cm3. As for the formation energy: -61 meV per atom. The calculation puts the total magnetization at 0.31 μB/f.u.



No. 5
Material: Tb3SmRu
Method: DFT, GGA-PBE
State: optimized geometry

The structure belongs to space group Pmn2_1 (No. 31); the cell edges are 7.661, 6.434 and 6.256 Å and the angles 90.00°, 90.00° and 90.00°. The distinct sites, in fractional coordinates, are Tb at (0.000, 0.158, 0.000), Tb at (0.250, 0.322, 0.505), Sm at (0.000, 0.846, 0.511) and Ru at (0.000, 0.498, 0.255).

Its final energy is -57.0 eV for the cell shown. Its theoretical density is 7.843 g/cm3. As for the formation energy: -127 meV per atom. The distance to the lowest polymorph of the same formula comes out at 14 meV/atom. The calculation puts the total magnetization at 0.00 μB/f.u.



No. 6
Material: CdTeRu2
Method: DFT, GGA-PBE
State: optimized geometry

The structure belongs to space group C2/m (No. 12); the cell edges are 8.384, 3.134 and 5.637 Å and the angles 90.00°, 100.69° and 90.00°. The distinct sites, in fractional coordinates, are Cd at (0.000, 0.000, 0.000), Te at (0.000, 0.500, 0.500) and Ru at (0.246, 0.000, 0.710).

Its final energy is -42.4 eV for the cell shown. Its theoretical density is 10.087 g/cm3. Its uncorrected formation energy is 0.351 eV per atom. The distance to the lowest polymorph of the same formula comes out at 104 meV/atom. The calculation puts the total magnetization at 0.00 μB/f.u.